1.
VASP calculation (GGA-PBE) on an optimized crystal structure of MgCdAgHg2.

Output
Its uncorrected energy is -1.160 eV per atom. Its density of states at the Fermi level is 0.28 states/eV per atom.

a = 3.375 Å, b = 8.289 Å, c = 8.933 Å
α = 90.00°, β = 90.00°, γ = 101.75°
Atoms (fractional coordinates):
1 Mg 0.769 0.537 0.250
2 Mg 0.231 0.463 0.750
3 Hg 0.352 0.703 0.035
4 Hg 0.648 0.297 0.535
5 Hg 0.648 0.297 0.965
6 Hg 0.352 0.703 0.465
7 Cd 0.892 0.785 0.750
8 Cd 0.108 0.215 0.250
9 Ag 0.000 0.000 0.000
10 Ag 0.000 0.000 0.500

=====

2.
VASP calculation (GGA-PBE) on an optimized crystal structure of MnCdAgHg.

Output
Its uncorrected energy is -3.132 eV per atom. Its density of states at the Fermi level is 0.38 states/eV per atom.

a = 4.757 Å, b = 4.757 Å, c = 4.757 Å
α = 60.00°, β = 60.00°, γ = 60.00°
Last column: magnetic moment on the atom in μB.
Atoms (fractional coordinates):
1 Hg 0.500 0.500 0.500  -0.02
2 Cd 0.250 0.250 0.250  -0.03
3 Ag 0.000 0.000 0.000  0.01
4 Mn 0.750 0.750 0.750  3.94

=====

3.
VASP calculation (GGA-PBE) on an optimized crystal structure of CdAg2HgMo.

Output
Its uncorrected energy is -2.310 eV per atom. Its density of states at the Fermi level is 0.57 states/eV per atom.

a = 5.352 Å, b = 5.521 Å, c = 5.352 Å
α = 90.00°, β = 90.00°, γ = 90.00°
Last column: magnetic moment on the atom in μB.
Atoms (fractional coordinates):
1 Mo 0.000 0.000 0.000  3.07
2 Cd 0.000 0.500 0.000  0.04
3 Hg 0.500 0.500 0.500  0.02
4 Ag 0.000 0.000 0.500  0.12
5 Ag 0.500 0.000 0.000  0.08

=====

4.
VASP calculation (GGA-PBE) on an optimized crystal structure of Na2Cd5Ag2Hg.

Output
Its uncorrected energy is -1.387 eV per atom. Its density of states at the Fermi level is 0.30 states/eV per atom.

a = 4.613 Å, b = 10.101 Å, c = 10.101 Å
α = 90.00°, β = 90.00°, γ = 90.00°
Atoms (fractional coordinates):
1 Ag 0.000 0.385 0.115
2 Ag 0.000 0.885 0.385
3 Ag 0.000 0.115 0.615
4 Ag 0.000 0.615 0.885
5 Cd 0.500 0.070 0.796
6 Cd 0.500 0.204 0.070
7 Cd 0.500 0.000 0.500
8 Cd 0.500 0.296 0.570
9 Cd 0.500 0.704 0.430
10 Cd 0.500 0.430 0.296
11 Cd 0.500 0.500 0.000
12 Cd 0.500 0.570 0.704
13 Cd 0.500 0.930 0.204
14 Cd 0.500 0.796 0.930
15 Na 0.000 0.679 0.179
16 Na 0.000 0.179 0.321
17 Na 0.000 0.321 0.821
18 Na 0.000 0.821 0.679
19 Hg 0.000 0.500 0.500
20 Hg 0.000 0.000 0.000

=====

5.
VASP calculation (GGA-PBE) on an optimized crystal structure of Na4Cd2Ag2Hg.

Output
Its uncorrected energy is -1.565 eV per atom. Its density of states at the Fermi level is 0.36 states/eV per atom.

a = 5.979 Å, b = 7.604 Å, c = 7.385 Å
α = 118.00°, β = 128.98°, γ = 71.62°
Atoms (fractional coordinates):
1 Cd 0.984 0.440 0.160
2 Cd 0.016 0.560 0.840
3 Na 0.383 0.238 0.613
4 Na 0.617 0.762 0.387
5 Na 0.603 0.247 0.227
6 Na 0.397 0.753 0.773
7 Ag 0.002 0.852 0.294
8 Ag 0.998 0.148 0.706
9 Hg 0.000 0.000 0.000

=====

6.
VASP calculation (GGA-PBE) on an optimized crystal structure of NaCd2AgHg.

Output
Its uncorrected energy is -1.355 eV per atom. Its density of states at the Fermi level is 0.19 states/eV per atom.

a = 4.984 Å, b = 6.108 Å, c = 8.560 Å
α = 90.00°, β = 90.00°, γ = 114.08°
Atoms (fractional coordinates):
1 Hg 0.000 0.000 0.000
2 Hg 0.000 0.000 0.500
3 Na 0.546 0.092 0.750
4 Na 0.454 0.908 0.250
5 Cd 0.729 0.458 0.419
6 Cd 0.729 0.458 0.081
7 Cd 0.271 0.542 0.581
8 Cd 0.271 0.542 0.919
9 Ag 0.824 0.649 0.750
10 Ag 0.176 0.351 0.250

=====

7.
VASP calculation (GGA-PBE) on an optimized crystal structure of NbCdAg2Hg.

Output
Its uncorrected energy is -2.296 eV per atom. Its density of states at the Fermi level is 0.87 states/eV per atom.

a = 5.087 Å, b = 5.356 Å, c = 5.087 Å
α = 90.00°, β = 90.00°, γ = 90.00°
Last column: magnetic moment on the atom in μB.
Atoms (fractional coordinates):
1 Hg 0.500 0.500 0.500  -0.02
2 Ag 0.500 0.000 0.000  -0.04
3 Ag 0.000 0.000 0.500  -0.02
4 Cd 0.000 0.000 0.000  0.03
5 Nb 0.000 0.500 0.000  2.14

=====

8.
VASP calculation (GGA-PBE) on an optimized crystal structure of Nd2CdAgHg4.

Output
Its uncorrected energy is -2.200 eV per atom. Its density of states at the Fermi level is 0.40 states/eV per atom.

a = 5.146 Å, b = 5.146 Å, c = 8.936 Å
α = 73.27°, β = 73.27°, γ = 60.00°
Atoms (fractional coordinates):
1 Hg 0.873 0.873 0.381
2 Hg 0.127 0.127 0.619
3 Hg 0.376 0.376 0.871
4 Hg 0.624 0.624 0.129
5 Nd 0.750 0.750 0.751
6 Nd 0.250 0.250 0.249
7 Cd 0.000 0.000 0.000
8 Ag 0.500 0.500 0.500

=====

9.
VASP calculation (GGA-PBE) on an optimized crystal structure of Nd4CdAgHg2.

Output
Its uncorrected energy is -3.312 eV per atom. Its density of states at the Fermi level is 1.02 states/eV per atom.

a = 5.400 Å, b = 5.400 Å, c = 9.354 Å
α = 73.22°, β = 73.22°, γ = 60.00°
Last column: magnetic moment on the atom in μB.
Atoms (fractional coordinates):
1 Nd 0.872 0.872 0.383  0.16
2 Nd 0.622 0.622 0.134  0.11
3 Nd 0.378 0.378 0.866  0.11
4 Nd 0.128 0.128 0.617  0.16
5 Hg 0.746 0.746 0.762  0.01
6 Hg 0.254 0.254 0.238  0.01
7 Cd 0.000 0.000 0.000  0.00
8 Ag 0.500 0.500 0.500  0.02

=====

10.
VASP calculation (GGA-PBE) on an optimized crystal structure of Nd4CdAg2Hg.

Output
Its uncorrected energy is -3.571 eV per atom. Its density of states at the Fermi level is 0.97 states/eV per atom.

a = 5.372 Å, b = 5.372 Å, c = 9.324 Å
α = 73.26°, β = 73.26°, γ = 60.00°
Last column: magnetic moment on the atom in μB.
Atoms (fractional coordinates):
1 Cd 0.000 0.000 0.000  0.00
2 Nd 0.126 0.126 0.622  0.11
3 Nd 0.624 0.624 0.129  0.08
4 Nd 0.376 0.376 0.871  0.08
5 Nd 0.874 0.874 0.378  0.11
6 Hg 0.500 0.500 0.500  0.01
7 Ag 0.254 0.254 0.239  0.01
8 Ag 0.746 0.746 0.761  0.01

=====

11.
VASP calculation (GGA-PBE) on an optimized crystal structure of Cd2NiAgHg.

Output
Its uncorrected energy is -1.365 eV per atom. Its density of states at the Fermi level is 0.78 states/eV per atom.

a = 5.309 Å, b = 4.884 Å, c = 5.309 Å
α = 90.00°, β = 90.00°, γ = 90.00°
Last column: magnetic moment on the atom in μB.
Atoms (fractional coordinates):
1 Ag 0.500 0.500 0.500  0.00
2 Cd 0.000 0.000 0.500  0.01
3 Cd 0.500 0.000 0.000  0.00
4 Hg 0.000 0.000 0.000  0.00
5 Ni 0.000 0.500 0.000  0.23

=====

12.
VASP calculation (GGA-PBE) on an optimized crystal structure of NpCdAgHg.

Output
Its uncorrected energy is -4.061 eV per atom. Its density of states at the Fermi level is 2.79 states/eV per atom.

a = 5.082 Å, b = 5.082 Å, c = 5.082 Å
α = 60.00°, β = 60.00°, γ = 60.00°
Last column: magnetic moment on the atom in μB.
Atoms (fractional coordinates):
1 Ag 0.000 0.000 0.000  0.02
2 Hg 0.500 0.500 0.500  0.02
3 Cd 0.250 0.250 0.250  0.00
4 Np 0.750 0.750 0.750  3.98